The following is a PBE with a Hubbard U calculation of an optimized crystal structure of K2Cr2O7, from Alexandria.

Summary:
* E: -6.234 eV/atom
* M_tot: 0.3 Bohr magnetons per cell
* E above lowest polymorph: 0.000 eV/f.u.

Geometry as CIF:
```
data_K2Cr2O7
_symmetry_space_group_name_H-M 'P -1'
_symmetry_Int_Tables_number 2
_symmetry_space_group_name_Hall '-P 1'
_cell_length_a 7.602
_cell_length_b 7.628
_cell_length_c 13.714
_cell_angle_alpha 83.82
_cell_angle_beta 86.74
_cell_angle_gamma 89.60
loop_
_atom_site_label
_atom_site_type_symbol
_atom_site_fract_x
_atom_site_fract_y
_atom_site_fract_z
_atom_site_occupancy
K1 K 0.083 0.337 0.161 1
K2 K 0.247 0.715 0.358 1
K3 K 0.339 0.297 0.862 1
K4 K 0.357 0.880 0.638 1
Cr1 Cr 0.156 0.806 0.087 1
Cr2 Cr 0.178 0.192 0.414 1
Cr3 Cr 0.223 0.392 0.608 1
Cr4 Cr 0.420 0.806 0.891 1
O1 O 0.000 0.314 0.951 1
O2 O 0.009 0.131 0.358 1
O3 O 0.070 0.961 0.146 1
O4 O 0.085 0.428 0.700 1
O5 O 0.102 0.283 0.524 1
O6 O 0.280 0.677 0.158 1
O7 O 0.289 0.903 0.983 1
O8 O 0.292 0.339 0.342 1
O9 O 0.300 0.672 0.837 1
O10 O 0.302 0.577 0.553 1
O11 O 0.305 0.021 0.443 1
O12 O 0.384 0.266 0.650 1
O13 O 0.414 0.301 0.060 1
O14 O 0.490 0.968 0.811 1
```